# 1
VASP calculation (PBE+U) on a relaxed CsNpVF6 crystal.

POSCAR file:
```
CsNpVF6
1.0
-4.019 4.191 5.628
4.019 -4.191 5.628
4.019 4.191 -5.628
Cs Np V F
2 2 2 12
direct
0.314 0.064 0.250
0.686 0.936 0.750
0.000 0.500 0.500
0.500 0.500 0.000
0.000 0.000 0.500
0.000 0.500 0.000
0.046 0.399 0.210
0.046 0.837 0.647
0.047 0.797 0.250
0.311 0.163 0.710
0.311 0.601 0.147
0.341 0.591 0.750
0.659 0.409 0.250
0.689 0.399 0.853
0.689 0.837 0.290
0.953 0.203 0.750
0.954 0.163 0.353
0.954 0.601 0.790
```

## Properties
- Final energy: -6.631 eV/atom
- Symmetry: Imma (74)

=====

# 2
VASP calculation (PBE+U) on a relaxed Cs2NpV3F12 crystal.

POSCAR file:
```
Cs2NpV3F12
1.0
3.889 2.245 6.483
-3.889 2.245 6.483
0.000 -4.490 6.483
Cs Np V F
2 1 3 12
direct
0.106 0.106 0.106
0.894 0.894 0.894
0.500 0.500 0.500
0.000 0.500 0.500
0.500 0.000 0.500
0.500 0.500 0.000
0.154 0.584 0.584
0.190 0.190 0.580
0.190 0.580 0.190
0.416 0.416 0.846
0.416 0.846 0.416
0.420 0.810 0.810
0.580 0.190 0.190
0.584 0.154 0.584
0.584 0.584 0.154
0.810 0.420 0.810
0.810 0.810 0.420
0.846 0.416 0.416
```

## Properties
- Final energy: -6.263 eV/atom
- Symmetry: R-3m (166)